A relaxed Pm4AgPd crystal. Source: Alexandria via LeMat-Bulk, functional PBE.

N(E_F), states/eV/cell: 7.973
Relative energy among the computed polymorphs, meV/atom: 211
Calculated volume, Å³ per atom: 31.2
Raw total energy, eV per atom: -4.668
Energy of formation, eV per formula unit: -0.96
Size of the total moment, μB/cell: 0.0

Cell: 4.8139 5.4886 7.2243 Å, 101.57 90.27 90.03°
Closest atoms and distances in Å follow each position.
Space group P-1 (No. 2)
One atom of each set of equivalent atoms:
Pm: 0.0010 0.0503 0.2609 [2 per cell]  2 Pd 3.00-3.02, 1 Ag 3.22
Pm: 0.4981 0.4624 0.7381 [2 per cell]  1 Pd 2.77, 2 Ag 3.04
Ag: 0.0000 0.5000 0.0000 [1 per cell]  8 Pm 3.04-3.39
Pd: 0.5000 0.0000 0.5000 [1 per cell]  6 Pm 2.77-3.02

A relaxed Pm2Ag5Pd crystal. Source: Alexandria via LeMat-Bulk, functional PBE.

N(E_F), states/eV/cell: 14.925
Calculated volume, Å³ per atom: 22.3
Raw total energy, eV per atom: -3.864
Energy of formation, eV per formula unit: -1.96
Size of the total moment, μB/cell: 0.0

Cell: 4.0361 17.9998 9.8399 Å, 90.00 90.00 90.00°
Closest atoms and distances in Å follow each position.
Space group Cmcm (No. 63)
One atom of each set of equivalent atoms:
Pm: 0.0000 0.0000 0.0000 [4 per cell]  4 Ag 3.13, 4 Pd 3.26
Pm: 0.0000 0.1727 0.2500 [4 per cell]  8 Ag 3.08-3.23, 2 Pd 3.12
Ag: 0.0000 0.2119 0.6037 [8 per cell]  6 Ag 2.78-3.05
Ag: 0.0000 0.3676 0.5252 [8 per cell]  4 Ag 2.73-2.91, 1 Pd 2.76
Ag: 0.0000 0.3867 0.2500 [4 per cell]  6 Ag 2.73-3.05, 1 Pd 2.76
Pd: 0.0000 0.4598 0.7500 [4 per cell]  3 Ag 2.76

A relaxed PmAgPd crystal. Source: Alexandria via LeMat-Bulk, functional PBE.

N(E_F), states/eV/cell: 1.051
Relative energy among the computed polymorphs, meV/atom: 57
Calculated volume, Å³ per atom: 22.6
Raw total energy, eV per atom: -4.762
Energy of formation, eV per formula unit: -1.49
Size of the total moment, μB/cell: 0.0

Cell: 4.6486 4.6486 3.6218 Å, 90.00 90.00 120.00°
Closest atoms and distances in Å follow each position.
Space group P3m1 (No. 156)
One atom of each set of equivalent atoms:
Pm: 0.0000 0.0000 0.0000 [1 per cell]  6 Pd 3.24, 6 Ag 3.24, 2 Pm 3.62
Ag: 0.6667 0.3333 0.4994 [1 per cell]  3 Pd 2.68
Pd: 0.3333 0.6667 0.5012 [1 per cell]  3 Ag 2.68

A relaxed PmAgPd2 crystal. Source: Alexandria via LeMat-Bulk, functional PBE.

N(E_F), states/eV/cell: 1.437
Relative energy among the computed polymorphs, meV/atom: 0
Calculated volume, Å³ per atom: 19.2
Raw total energy, eV per atom: -5.084
Energy of formation, eV per formula unit: -2.35
Size of the total moment, μB/cell: 0.0

Cell: 4.3953 4.3953 3.9757 Å, 90.00 90.00 90.00°
Closest atoms and distances in Å follow each position.
Space group P4/mmm (No. 123)
One atom of each set of equivalent atoms:
Pm: 0.0000 0.0000 0.0000 [1 per cell]  8 Pd 2.96, 4 Ag 3.11
Ag: 0.5000 0.5000 0.0000 [1 per cell]  8 Pd 2.96, 4 Pm 3.11
Pd: 0.0000 0.5000 0.5000 [2 per cell]  4 Ag 2.96, 4 Pm 2.96, 4 Pd 3.11

A relaxed Pm2Ag3Pd crystal. Source: Alexandria via LeMat-Bulk, functional PBE.

N(E_F), states/eV/cell: 4.287
Relative energy among the computed polymorphs, meV/atom: 0
Calculated volume, Å³ per atom: 23.3
Raw total energy, eV per atom: -4.257
Energy of formation, eV per formula unit: -2.29
Size of the total moment, μB/cell: 0.0

Cell: 3.6030 4.8063 8.0574 Å, 90.00 90.00 90.00°
Closest atoms and distances in Å follow each position.
Space group Pmm2 (No. 25)
One atom of each set of equivalent atoms:
Pm: 0.0000 0.0000 0.0000 [1 per cell]  2 Pd 3.05, 10 Ag 3.21-3.39
Pm: 0.0000 0.5000 0.4600 [1 per cell]  8 Ag 3.13-3.35, 4 Pd 3.25
Ag: 0.5000 0.0000 0.6448 [1 per cell]  2 Ag 2.73, 1 Pd 2.73
Ag: 0.5000 0.5000 0.1421 [1 per cell]  1 Ag 2.72, 2 Pd 2.74
Ag: 0.5000 0.5000 0.8045 [1 per cell]  3 Ag 2.72-2.73
Pd: 0.5000 0.0000 0.3061 [1 per cell]  3 Ag 2.73-2.74, 2 Pm 3.05

A relaxed Pm2AgPd9 crystal. Source: Alexandria via LeMat-Bulk, functional PBE.

N(E_F), states/eV/cell: 12.024
Calculated volume, Å³ per atom: 17.6
Raw total energy, eV per atom: -5.435
Energy of formation, eV per formula unit: -6.13
Size of the total moment, μB/cell: 0.0

Cell: 4.1500 4.1500 12.2609 Å, 90.00 90.00 90.00°
Closest atoms and distances in Å follow each position.
Space group P4/mmm (No. 123)
One atom of each set of equivalent atoms:
Pm: 0.0000 0.0000 0.1735 [2 per cell]  12 Pd 2.93-2.97
Ag: 0.0000 0.0000 0.5000 [1 per cell]  12 Pd 2.83-2.93
Pd: 0.0000 0.5000 0.0000 [2 per cell]  8 Pd 2.93-2.95, 4 Pm 2.97
Pd: 0.0000 0.5000 0.3425 [4 per cell]  8 Pd 2.83-2.96, 2 Ag 2.83, 2 Pm 2.93
Pd: 0.5000 0.5000 0.1707 [2 per cell]  4 Pm 2.93, 8 Pd 2.95-2.96
Pd: 0.5000 0.5000 0.5000 [1 per cell]  8 Pd 2.83, 4 Ag 2.93